No. 1
VASP calculation (GGA-PBE) on crystalline CeUV2 at its relaxed geometry.

Cell lengths 2.828, 2.828, 31.320 Å; angles 90.00, 90.00, 120.00 degrees
Atoms (fractional coordinates):
Ce: 0.000 0.000 0.000
Ce: 0.333 0.667 0.667
Ce: 0.667 0.333 0.333
U: 0.000 0.000 0.500
U: 0.333 0.667 0.167
U: 0.667 0.333 0.833
V: 0.000 0.000 0.085
V: 0.000 0.000 0.915
V: 0.333 0.667 0.582
V: 0.333 0.667 0.752
V: 0.667 0.333 0.248
V: 0.667 0.333 0.418

## Properties
formation energy	0.5023	eV/atom
mass density	11.0	g cm⁻³
DOS at the Fermi energy	20.2	states/eV/cell

No. 2
VASP calculation (GGA-PBE) on crystalline GdTmMnRh at its relaxed geometry.

Cell lengths 6.938, 6.938, 6.938 Å; angles 90.00, 90.00, 90.00 degrees
Atoms (fractional coordinates):
Gd: 0.000 0.000 0.000
Gd: 0.000 0.500 0.500
Gd: 0.500 0.000 0.500
Gd: 0.500 0.500 0.000
Tm: 0.000 0.000 0.500
Tm: 0.000 0.500 0.000
Tm: 0.500 0.000 0.000
Tm: 0.500 0.500 0.500
Mn: 0.250 0.250 0.250
Mn: 0.250 0.750 0.750
Mn: 0.750 0.250 0.750
Mn: 0.750 0.750 0.250
Rh: 0.250 0.250 0.750
Rh: 0.250 0.750 0.250
Rh: 0.750 0.250 0.250
Rh: 0.750 0.750 0.750

## Properties
formation energy	-0.2604	eV/atom
mass density	9.6	g cm⁻³
DOS at the Fermi energy	19.0	states/eV/cell

No. 3
VASP calculation (GGA-PBE) on crystalline TeP2SI at its relaxed geometry.

Cell lengths 5.254, 5.254, 4.956 Å; angles 90.00, 90.00, 90.00 degrees
Atoms (fractional coordinates):
Te: 0.000 0.000 0.000
P: 0.000 0.500 0.000
P: 0.500 0.000 0.000
S: 0.000 0.000 0.500
I: 0.500 0.500 0.500

## Properties
mass density	4.2	g cm⁻³
distance to the lowest polymorph of the same formula	0	meV per atom
formation energy (no corrections)	514	kJ/mol of formula units
DOS at the Fermi energy	6.5	states/eV/cell

No. 4
VASP calculation (GGA-PBE) on crystalline Tl5Br4Cl at its relaxed geometry.

Cell lengths 12.540, 12.540, 12.540 Å; angles 158.27, 148.98, 38.19 degrees
Atoms (fractional coordinates):
Tl: 0.000 0.000 0.000
Tl: 0.201 0.201 0.000
Tl: 0.405 0.405 0.000
Tl: 0.595 0.595 0.000
Tl: 0.799 0.799 0.000
Br: 0.100 0.600 0.500
Br: 0.303 0.803 0.500
Br: 0.697 0.197 0.500
Br: 0.900 0.400 0.500
Cl: 0.500 0.000 0.500

## Properties
mass density	6.1	g cm⁻³
formation energy (no corrections)	-860	kJ/mol of formula units
DOS at the Fermi energy	0.0	states/eV/cell